KCdP2 | PBE | relaxed

Calculated values
Space-group type: I-4m2
Crystal system: tetragonal
E_form, kcal/mol of atoms: 10.58
Calculated density, g cm⁻³: 4.0

Geometry as POSCAR:
```
KCdP2
1.0
5.552 0.012 0.000
2.112 5.135 0.000
-3.832 -2.573 3.086
P Cd K
2 1 1
Cartesian
0.000 0.000 0.000 P
1.056 2.567 1.543 P
3.832 2.573 0.000 Cd
2.776 0.006 1.543 K
```

KCdP2 | PBE | relaxed

Calculated values
Space-group type: Cmmm
Crystal system: orthorhombic
E_form, kcal/mol of atoms: 7.87
Calculated density, g cm⁻³: 4.1

Geometry as POSCAR:
```
KCdP2
1.0
5.700 0.192 -0.021
-1.759 5.426 -0.021
0.010 0.014 2.758
P K Cd
2 1 1
Cartesian
0.000 0.000 0.000 P
1.970 2.809 -0.021 P
-0.875 2.720 1.368 K
2.855 0.103 1.368 Cd
```

K2Cd2P | PBE | relaxed

Calculated values
Space-group type: I4/mmm
Crystal system: tetragonal
E_form, kcal/mol of atoms: 1.91
Calculated density, g cm⁻³: 3.2

Geometry as POSCAR:
```
K2Cd2P
1.0
-3.041 -1.126 2.350
0.677 -3.829 -0.958
5.565 -3.361 9.002
P K Cd
1 2 2
Cartesian
0.000 0.000 0.000 P
3.225 -5.686 8.272 K
-0.023 -2.629 2.123 K
2.531 -4.833 4.370 Cd
0.672 -3.482 6.024 Cd
```

KCdP2 | PBE | relaxed

Calculated values
Space-group type: P4/mmm
Crystal system: tetragonal
E_form, kcal/mol of atoms: 8.91
Calculated density, g cm⁻³: 4.1

Geometry as POSCAR:
```
KCdP2
1.0
-1.331 -4.013 1.589
2.986 -2.058 -2.695
2.925 0.240 3.058
K P Cd
1 2 1
Cartesian
2.956 -0.909 0.181 K
0.000 0.000 0.000 P
0.828 -3.036 -0.553 P
0.797 -1.887 2.323 Cd
```

K3CdP2 | PBE | relaxed

Calculated values
Space-group type: Ibam
Crystal system: orthorhombic
E_form, kcal/mol of atoms: -5.01
Calculated density, g cm⁻³: 2.5

Geometry as POSCAR:
```
K3CdP2
1.0
7.220 0.000 -2.997
-1.084 6.105 -2.610
-0.513 0.031 8.957
K P Cd
6 4 2
Cartesian
3.858 1.948 2.955 K
6.795 1.136 -0.165 K
3.339 1.526 -2.151 K
2.797 4.579 -3.456 K
1.764 4.188 0.394 K
-1.172 5.001 3.514 K
-0.156 2.471 5.845 P
1.914 0.613 0.639 P
3.708 5.523 2.710 P
5.779 3.665 -2.495 P
-0.813 4.579 -1.957 Cd
-0.271 1.526 -0.652 Cd
```

KCdPPd2 | PBE | relaxed

Calculated values
Space-group type: P4/mmm
Crystal system: tetragonal
E_form, kcal/mol of atoms: 31.43
Calculated density, g cm⁻³: 4.9

Geometry as POSCAR:
```
KCdPPd2
1.0
4.922 0.000 0.000
0.000 5.473 0.000
0.000 0.000 4.922
K Cd Pd P
1 1 2 1
Cartesian
0.000 0.000 0.000 K
2.461 2.737 2.461 Cd
0.000 0.000 2.461 Pd
2.461 0.000 0.000 Pd
0.000 2.737 0.000 P
```

K2CdPPt | PBE | relaxed

Calculated values
Space-group type: P4/mmm
Crystal system: tetragonal
E_form, kcal/mol of atoms: -5.99
Calculated density, g cm⁻³: 3.9

Geometry as POSCAR:
```
K2CdPPt
1.0
-5.350 0.054 3.486
0.805 -6.193 1.332
2.333 1.069 3.564
P Cd Pt K
1 1 1 2
Cartesian
1.166 0.535 1.782 P
-1.106 -2.535 4.190 Cd
0.000 0.000 0.000 Pt
0.402 -3.097 0.666 K
-2.675 0.027 1.743 K
```

KCdP2Pt4 | PBE | relaxed

Calculated values
Space-group type: P4/mmm
Crystal system: tetragonal
E_form, kcal/mol of atoms: -10.59
Calculated density, g cm⁻³: 9.8

Geometry as POSCAR:
```
KCdP2Pt4
1.0
4.029 0.000 0.000
0.000 4.029 0.000
0.000 0.000 10.379
Pt P Cd K
4 2 1 1
Cartesian
0.000 2.015 2.063 Pt
2.015 0.000 2.063 Pt
2.015 0.000 8.316 Pt
0.000 2.015 8.316 Pt
2.015 2.015 3.205 P
2.015 2.015 7.174 P
0.000 0.000 0.000 Cd
0.000 0.000 5.189 K
```

KRbCd2P2 | PBE | relaxed

Calculated values
Space-group type: P-3m1
Crystal system: trigonal
E_form, kcal/mol of atoms: -7.86
Calculated density, g cm⁻³: 3.8

Geometry as POSCAR:
```
KRbCd2P2
1.0
-2.299 1.368 -3.547
2.737 -3.483 -0.335
-7.857 -6.426 2.613
P Rb Cd K
2 1 2 1
Cartesian
-6.448 -5.015 -0.538 P
-0.971 -3.526 -0.731 P
0.000 0.000 0.000 Rb
-4.755 -6.621 0.528 Cd
-2.664 -1.920 -1.797 Cd
-3.929 -3.213 1.307 K
```

K2RbCdP | PBE | relaxed

Calculated values
Space-group type: P4/mmm
Crystal system: tetragonal
E_form, kcal/mol of atoms: -1.14
Calculated density, g cm⁻³: 2.3

Geometry as POSCAR:
```
K2RbCdP
1.0
6.461 0.000 0.000
0.000 6.461 0.000
0.000 0.000 5.310
K Cd Rb P
2 1 1 1
Cartesian
3.231 0.000 0.000 K
0.000 3.231 0.000 K
0.000 0.000 2.655 Cd
3.231 3.231 2.655 Rb
0.000 0.000 0.000 P
```

KRbCdP2 | PBE | relaxed

Calculated values
Space-group type: P4/mmm
Crystal system: tetragonal
E_form, kcal/mol of atoms: 21.37
Calculated density, g cm⁻³: 1.9

Geometry as POSCAR:
```
KRbCdP2
1.0
-0.227 1.270 6.198
-4.483 -4.566 0.771
4.543 -4.284 1.044
P Rb K Cd
2 1 1 1
Cartesian
2.271 -2.142 0.522 P
-0.113 0.635 3.099 P
0.000 0.000 0.000 Rb
-0.084 -3.790 4.007 K
-2.241 -2.283 0.386 Cd
```

KCd2PRh | PBE | relaxed

Calculated values
Space-group type: P4/mmm
Crystal system: tetragonal
E_form, kcal/mol of atoms: -3.10
Calculated density, g cm⁻³: 5.2

Geometry as POSCAR:
```
KCd2PRh
1.0
5.302 0.000 0.000
0.000 5.302 0.000
0.000 0.000 4.526
P Cd Rh K
1 2 1 1
Cartesian
0.000 0.000 2.263 P
0.000 2.651 0.000 Cd
2.651 0.000 0.000 Cd
0.000 0.000 0.000 Rh
2.651 2.651 2.263 K
```

KCdPRu | PBE | relaxed

Calculated values
Space-group type: P4/nmm
Crystal system: tetragonal
E_form, kcal/mol of atoms: -9.75
Calculated density, g cm⁻³: 4.5

Geometry as POSCAR:
```
KCdPRu
1.0
4.078 0.000 0.000
0.000 4.078 0.000
0.000 0.000 12.592
K P Ru Cd
2 2 2 2
Cartesian
3.059 3.059 2.971 K
1.020 1.020 9.621 K
3.059 3.059 11.470 P
1.020 1.020 1.122 P
1.020 3.059 0.000 Ru
3.059 1.020 0.000 Ru
1.020 3.059 6.296 Cd
3.059 1.020 6.296 Cd
```

KCdP2S | PBE | relaxed

Calculated values
Space-group type: P4/mmm
Crystal system: tetragonal
Calculated density, g cm⁻³: 2.6
Formation energy without anion corrections, eV per atom: 1.568

Geometry as POSCAR:
```
KCdP2S
1.0
-4.693 -0.119 -2.707
-2.436 -2.187 4.319
-1.177 4.913 1.824
K P Cd S
1 2 1 1
Cartesian
0.000 0.000 0.000 K
-1.218 -1.093 2.160 P
-2.347 -0.059 -1.354 P
-4.153 1.304 1.718 Cd
-0.588 2.457 0.912 S
```

KCdP2S | PBE | relaxed

Calculated values
Space-group type: P4/mmm
Crystal system: tetragonal
Calculated density, g cm⁻³: 3.0
Formation energy without anion corrections, eV per atom: 0.520

Geometry as POSCAR:
```
KCdP2S
1.0
5.076 0.000 0.000
0.000 5.076 0.000
0.000 0.000 5.312
K Cd S P
1 1 1 2
Cartesian
2.538 2.538 2.656 K
0.000 0.000 0.000 Cd
0.000 0.000 2.656 S
0.000 2.538 0.000 P
2.538 0.000 0.000 P
```

K2CdPS4 | PBE | relaxed

Calculated values
Space-group type: Fddd
Crystal system: orthorhombic
Calculated density, g cm⁻³: 2.4
Formation energy without anion corrections, eV per atom: -0.584

Geometry as POSCAR:
```
K2CdPS4
1.0
6.139 0.000 0.000
3.069 6.701 0.000
3.069 0.000 11.530
Cd K S P
2 4 8 2
Cartesian
0.000 0.000 0.000 Cd
7.674 3.351 5.765 Cd
7.674 3.351 1.564 K
6.139 0.000 4.201 K
3.069 0.000 7.329 K
7.674 3.351 9.966 K
10.474 5.371 10.322 S
4.335 1.330 1.209 S
4.873 1.330 10.322 S
5.870 4.681 4.556 S
5.870 2.020 6.974 S
4.873 5.371 1.209 S
9.478 4.681 6.974 S
3.339 2.020 4.556 S
3.069 0.000 0.000 P
4.604 3.351 5.765 P
```

K2CdPSe4 | PBE | relaxed

Calculated values
Space-group type: P1
Crystal system: triclinic
Calculated density, g cm⁻³: 3.0
Formation energy without anion corrections, eV per atom: -0.623

Geometry as POSCAR:
```
K2CdPSe4
1.0
-5.245 7.298 2.579
-1.210 -3.199 8.726
9.202 0.997 -4.442
K Se P Cd
4 8 2 2
Cartesian
-3.425 0.331 9.291 K
0.164 1.721 4.132 K
-3.605 7.076 2.481 K
1.478 4.468 -0.327 K
-1.513 -1.172 7.074 Se
0.057 4.719 2.632 Se
3.203 0.389 3.008 Se
3.959 2.249 -0.205 Se
6.191 2.390 -1.446 Se
3.483 6.922 0.628 Se
-0.555 4.134 6.964 Se
4.539 3.865 3.121 Se
3.325 2.379 1.960 P
7.290 1.065 -2.912 P
2.523 5.765 2.945 Cd
0.027 5.962 4.964 Cd
```

KCdPSe4 | PBE | relaxed

Calculated values
Space-group type: P2_1/m
Crystal system: monoclinic
Calculated density, g cm⁻³: 3.9
Formation energy without anion corrections, eV per atom: -0.490

Geometry as POSCAR:
```
KCdPSe4
1.0
6.448 0.000 0.075
0.000 7.252 0.000
-2.422 0.000 8.964
K Se Cd P
2 8 2 2
Cartesian
1.293 1.813 0.506 K
2.733 5.439 8.534 K
1.430 5.439 4.811 Se
-1.499 3.540 6.352 Se
2.596 1.813 4.228 Se
5.525 3.712 2.688 Se
-1.499 0.086 6.352 Se
1.893 5.439 1.061 Se
2.133 1.813 7.978 Se
5.525 7.166 2.688 Se
4.047 5.439 4.412 Cd
-0.021 1.813 4.628 Cd
0.543 5.439 2.761 P
3.483 1.813 6.278 P
```

KTaCdP2 | PBE | relaxed

Calculated values
Space-group type: P4/mmm
Crystal system: tetragonal
E_form, kcal/mol of atoms: 9.23
Calculated density, g cm⁻³: 4.1

Geometry as POSCAR:
```
KTaCdP2
1.0
4.839 0.000 0.000
0.000 6.754 0.000
0.000 0.000 4.839
Ta P Cd K
1 2 1 1
Cartesian
0.000 0.000 0.000 Ta
2.419 0.000 0.000 P
0.000 0.000 2.419 P
2.419 3.377 2.419 Cd
0.000 3.377 0.000 K
```

K2VCdP | PBE | relaxed

Calculated values
Space-group type: P4/mmm
Crystal system: tetragonal
E_form, kcal/mol of atoms: 20.22
Calculated density, g cm⁻³: 2.2

Geometry as POSCAR:
```
K2VCdP
1.0
6.684 0.000 0.000
0.000 4.688 0.000
0.000 0.000 6.684
V K P Cd
1 2 1 1
Cartesian
3.342 2.344 3.342 V
3.342 0.000 0.000 K
0.000 0.000 3.342 K
0.000 2.344 0.000 P
0.000 0.000 0.000 Cd
```

K2ZnCdP | PBE | relaxed

Calculated values
Space-group type: P4/mmm
Crystal system: tetragonal
E_form, kcal/mol of atoms: -1.55
Calculated density, g cm⁻³: 2.5

Geometry as POSCAR:
```
K2ZnCdP
1.0
6.441 0.000 0.000
0.000 6.441 0.000
0.000 0.000 4.532
Zn P K Cd
1 1 2 1
Cartesian
0.000 0.000 2.266 Zn
0.000 0.000 0.000 P
0.000 3.220 0.000 K
3.220 0.000 0.000 K
3.220 3.220 2.266 Cd
```

KZr2CdP | PBE | relaxed

Calculated values
Space-group type: P4/mmm
Crystal system: tetragonal
E_form, kcal/mol of atoms: 5.62
Calculated density, g cm⁻³: 4.5

Geometry as POSCAR:
```
KZr2CdP
1.0
-3.864 -1.699 2.763
-1.244 -3.441 -3.856
3.021 -3.450 2.103
K P Cd Zr
1 1 1 2
Cartesian
-1.044 -4.295 0.505 K
0.000 0.000 0.000 P
-0.622 -1.720 -1.928 Cd
1.510 -1.725 1.052 Zr
-1.932 -0.849 1.381 Zr
```

K3PaCd2Se6 | PBE | relaxed

Calculated values
Space-group type: C2/m
Crystal system: monoclinic
Calculated density, g cm⁻³: 5.0
Formation energy without anion corrections, eV per atom: -1.092

Geometry as POSCAR:
```
K3PaCd2Se6
1.0
7.214 -0.009 0.003
-3.613 6.243 0.003
-1.198 -2.074 7.717
Se Cd K Pa
6 2 3 1
Cartesian
-0.035 -0.061 6.126 Se
0.064 4.160 6.145 Se
3.571 2.135 6.145 Se
-1.168 2.026 1.579 Se
2.438 4.221 1.598 Se
2.338 0.000 1.579 Se
3.595 2.080 0.003 Cd
0.005 4.154 0.003 Cd
-2.363 4.139 3.862 K
1.201 2.080 3.862 K
4.766 0.022 3.862 K
0.000 0.000 0.000 Pa
```

K4Pa3CdSe8 | PBE | relaxed

Calculated values
Space-group type: R-3m
Crystal system: trigonal
Calculated density, g cm⁻³: 5.5
Formation energy without anion corrections, eV per atom: -1.228

Geometry as POSCAR:
```
K4Pa3CdSe8
1.0
-2.606 4.878 6.350
0.214 -7.221 5.635
7.090 1.898 -4.131
Se Cd K Pa
8 1 4 3
Cartesian
2.901 -3.052 3.535 Se
-0.424 -0.752 3.220 Se
1.589 -0.637 6.724 Se
1.797 2.606 4.319 Se
6.413 -2.111 1.487 Se
5.121 0.306 4.634 Se
-1.715 1.666 6.367 Se
3.109 0.191 1.129 Se
0.107 -3.611 2.817 Cd
3.545 0.949 -2.065 K
0.000 0.000 0.000 K
-1.303 2.439 3.175 K
2.242 3.388 1.109 K
2.349 -0.223 3.927 Pa
-1.196 -1.172 5.992 Pa
3.652 -2.662 0.752 Pa
```

KPaCdSe4 | PBE | relaxed

Calculated values
Space-group type: Imma
Crystal system: orthorhombic
Calculated density, g cm⁻³: 4.9
Formation energy without anion corrections, eV per atom: -1.063

Geometry as POSCAR:
```
KPaCdSe4
1.0
7.995 0.000 0.000
-3.997 8.141 -0.061
0.000 -4.450 7.318
Se Cd K Pa
8 2 2 2
Cartesian
2.211 -1.108 1.832 Se
5.784 -1.108 1.832 Se
0.000 3.358 2.404 Se
1.786 4.799 5.424 Se
-1.786 4.799 5.424 Se
3.997 0.334 4.853 Se
3.997 2.237 1.723 Se
0.000 1.454 5.534 Se
-1.999 1.846 3.628 Cd
1.999 1.846 3.628 Cd
0.000 -1.450 6.636 K
3.997 5.142 0.621 K
3.997 0.000 0.000 Pa
3.997 -2.225 3.659 Pa
```